DFT (PBE+U) results for a relaxed VAgHgO4 crystal.

Properties
* E: -5.35 eV per atom

a b c (Å): 5.9851 5.9851 7.2571
angles (deg): 98.05 98.05 55.56
Last column: nearest neighbours and their distance in Å.
Fractional coordinates of all 14 atoms:
V  0.1866  0.1866  0.2297  4 O 1.71-1.85
V  0.8134  0.8134  0.7703  4 O 1.71-1.85
Ag  0.1516  0.1219  0.7207  4 O 2.33-2.55
Ag  0.8781  0.8484  0.2793  4 O 2.33-2.55
Hg  0.4947  0.5053  0.0000  4 O 2.27-2.38
Hg  0.5316  0.4684  0.5000  2 O 2.06
O  0.0028  0.7611  0.5932  1 V 1.71
O  0.0160  0.7167  0.9753  1 V 1.72
O  0.2389  0.9972  0.4068  1 V 1.71
O  0.2833  0.9840  0.0247  1 V 1.72
O  0.4180  0.3034  0.2678  1 V 1.85, 1 Hg 2.06
O  0.5523  0.1617  0.7883  1 V 1.76
O  0.6966  0.5820  0.7322  1 V 1.85, 1 Hg 2.06
O  0.8383  0.4477  0.2117  1 V 1.76